Entry from Alexandria: a relaxed structure of Ti2BiAs (PBE).

Values from the calculation:
Crystal system ... cubic
Energy ... -6.247 eV/atom
Formation energy ... -0.67 eV/f.u.

POSCAR file:
```
Ti2BiAs
1.0
6.738 0.000 0.000
0.000 6.738 0.000
0.000 0.000 6.738
Ti Bi As
8 4 4
Direct
0.250 0.250 0.250
0.250 0.250 0.750
0.250 0.750 0.250
0.250 0.750 0.750
0.750 0.250 0.250
0.750 0.250 0.750
0.750 0.750 0.250
0.750 0.750 0.750
0.000 0.000 0.000
0.000 0.500 0.500
0.500 0.000 0.500
0.500 0.500 0.000
0.000 0.000 0.500
0.000 0.500 0.000
0.500 0.000 0.000
0.500 0.500 0.500
```